This record from Alexandria via LeMat-Bulk describes a relaxed structure of Pm2Sm6YMg. The functional is GGA-PBE.

## Properties
Energy of formation from the pure elements, eV/atom: 0.110

Lattice parameters (Å, degrees): 9.269 9.008 9.008 118.36 92.29 92.29
Sites, in units of the cell vectors:
Sm1 0.054 0.140 0.780
Mg1 0.250 0.420 0.580
Sm2 0.946 0.860 0.220
Sm3 0.896 0.275 0.501
Pm1 0.047 0.323 0.213
Sm4 0.704 0.998 0.571
Sm5 0.554 0.780 0.140
Sm6 0.446 0.220 0.860
Sm7 0.604 0.499 0.725
Y1 0.750 0.022 0.978
Sm8 0.104 0.725 0.499
Y2 0.250 0.978 0.022
Sm9 0.296 0.002 0.429
Mg2 0.750 0.580 0.420
Sm10 0.796 0.429 0.002
Sm11 0.396 0.501 0.275
Pm2 0.453 0.787 0.677
Sm12 0.204 0.571 0.998
Pm3 0.953 0.677 0.787
Pm4 0.547 0.213 0.323